(1)
Computed, not measured: crystalline RuW5 at its relaxed geometry at the PBE-GGA level of DFT.

Unit cell a=2.7341 b=2.7341 c=12.8685 alpha=90.00 beta=90.00 gamma=90.00
Last column: nearest neighbours and their distance in Å.
Positions (direct):
Ru (0.5000, 0.5000, 0.0000)  8 W 2.73, 4 Ru 2.73
W (0.5000, 0.5000, 0.3240)  12 W 2.73-2.98
W (0.0000, 0.0000, 0.1501)  4 Ru 2.73, 8 W 2.73-2.96
W (0.5000, 0.5000, 0.6760)  12 W 2.73-2.98
W (0.0000, 0.0000, 0.8499)  4 Ru 2.73, 8 W 2.73-2.96
W (0.0000, 0.0000, 0.5000)  12 W 2.73-2.98

## Properties
relative energy among the computed polymorphs = 139 meV per atom


(2)
Computed, not measured: crystalline Na4S2O5 at its relaxed geometry at the PBE-GGA level of DFT.

Unit cell a=4.7524 b=5.3850 c=7.2440 alpha=90.07 beta=91.17 gamma=116.49
Last column: nearest neighbours and their distance in Å.
Positions (direct):
O (0.6814, 0.7413, 0.2292)  1 S 1.54
O (0.3388, 0.8336, 0.4311)  1 S 1.55
O (0.1548, 0.3674, 0.2792)  1 S 1.55
O (0.8010, 0.6740, 0.7704)  1 S 1.63
O (0.5586, 0.1702, 0.9199)  1 S 1.63
Na (0.9866, 0.0194, 0.9958)  4 O 2.32-2.55
Na (0.3135, 0.7024, 0.7459)  4 O 2.38-2.57
Na (0.9595, 0.9968, 0.5021)  4 O 2.39-2.50
Na (0.6276, 0.2952, 0.2359)  4 O 2.30-2.47
S (0.6222, 0.3417, 0.7283)  2 O 1.63
S (0.3360, 0.6849, 0.2481)  3 O 1.54-1.55

## Properties
raw formation energy = -142 kJ per mole of atoms


(3)
Computed, not measured: crystalline KCd3Sn3 at its relaxed geometry at the PBE-GGA level of DFT.

Unit cell a=8.0633 b=8.0633 c=8.0633 alpha=90.00 beta=90.00 gamma=90.00
Last column: nearest neighbours and their distance in Å.
Positions (direct):
Cd (0.5000, 0.7500, 0.0000)  4 Sn 2.85
Cd (0.0000, 0.5000, 0.2500)  4 Sn 2.85
Cd (0.5000, 0.2500, 0.0000)  4 Sn 2.85
Cd (0.0000, 0.5000, 0.7500)  4 Sn 2.85
Cd (0.2500, 0.0000, 0.5000)  4 Sn 2.85
Cd (0.7500, 0.0000, 0.5000)  4 Sn 2.85
Sn (0.5000, 0.0000, 0.2500)  4 Cd 2.85
Sn (0.7500, 0.5000, 0.0000)  4 Cd 2.85
Sn (0.0000, 0.2500, 0.5000)  4 Cd 2.85
Sn (0.2500, 0.5000, 0.0000)  4 Cd 2.85
Sn (0.5000, 0.0000, 0.7500)  4 Cd 2.85
Sn (0.0000, 0.7500, 0.5000)  4 Cd 2.85
K (0.5000, 0.5000, 0.5000)  12 Cd 4.51, 12 Sn 4.51
K (0.0000, 0.0000, 0.0000)  12 Cd 4.51, 12 Sn 4.51

## Properties
relative energy among the computed polymorphs = 137 meV per atom


Number 1: magnetization 0.00 μB/cell. Number 2: magnetization 0.00 μB/cell. Number 3: magnetization 0.00 μB/cell.